The following is a DFT calculation (PBE+U) of Na3Cr3RhO8 after structural relaxation.

Cell: 6.0679 6.0679 16.2938 Å, 90.00 90.00 120.00°
Space group R-3m (No. 166, hexagonal axes)
Unique sites:
1 Na 0.0000 0.5000 0.0000 x9
2 Cr 0.0000 0.5000 0.5000 x9
3 Rh 0.0000 0.0000 0.5000 x3
4 O 0.0000 0.0000 0.2317 x6
5 O 0.9997 0.4999 0.2309 x18

Mass density, g cm⁻³: 4.371
Volume, Å³/f.u.: 173.2
Electronic total energy, eV/atom: -6.5814